# 1
Li3CdAg2 after structural relaxation, computed with PBE.

```
Li3CdAg2
1.0
3.076 0.000 0.000
0.000 4.410 -1.460
0.000 -0.001 7.386
Li Cd Ag
3 1 2
direct
0.500 0.500 0.000
0.500 0.825 0.651
0.500 0.175 0.349
0.000 0.000 0.000
0.000 0.337 0.674
0.000 0.663 0.326
```

Spin magnetization ... 0.00 Bohr magnetons per cell
Space group ... Cmmm, No. 65
Calculated formation energy ... -0.222 eV/atom

***

# 2
CrFe2AuN after structural relaxation, computed with PBE.

```
CrFe2AuN
1.0
3.922 0.000 0.000
0.000 3.922 0.000
0.000 0.000 3.882
Cr Au Fe N
1 1 2 1
direct
0.000 0.000 0.500
0.500 0.500 0.500
0.000 0.500 0.000
0.500 0.000 0.000
0.000 0.000 0.000
```

Raw formation energy ... -0.07 eV/atom
Spin magnetization ... 6.75 Bohr magnetons per cell
Distance to the lowest polymorph of the same formula ... 0.0 meV per atom
Space group ... P4/mmm, No. 123

***

# 3
Tc2SbW after structural relaxation, computed with PBE.

```
Tc2SbW
1.0
8.740 0.022 0.013
8.212 2.994 0.013
8.212 1.461 2.613
Sb Tc W
1 2 1
direct
0.750 0.750 0.750
0.996 0.996 0.996
0.504 0.504 0.504
0.250 0.250 0.250
```

Raw formation energy ... 0.30 eV/atom
Spin magnetization ... 0.00 Bohr magnetons per cell
Space group ... R-3m, No. 166

***

# 4
MnHg2Se after structural relaxation, computed with PBE.

```
MnHg2Se
1.0
-1.164 3.286 -8.326
1.461 0.977 -8.854
-2.405 -2.405 -1.434
Hg Mn Se
2 1 1
direct
0.934 0.934 0.066
0.566 0.566 0.434
0.250 0.250 0.250
0.750 0.750 0.750
```

Raw formation energy ... -0.03 eV/atom
Spin magnetization ... 4.73 Bohr magnetons per cell
Space group ... Immm, No. 71

***

# 5
DyReW after structural relaxation, computed with PBE.

```
DyReW
1.0
-2.735 2.123 4.285
-1.708 -4.722 -2.265
5.159 -4.520 5.533
Dy W Re
4 4 4
direct
0.333 0.667 0.309
0.667 0.333 0.184
0.667 0.333 0.816
0.333 0.667 0.691
0.999 0.001 0.244
0.999 0.001 0.756
0.339 0.168 0.500
0.832 0.661 0.500
0.830 0.170 0.500
0.658 0.828 0.000
0.172 0.342 0.000
0.172 0.828 0.000
```

Spin magnetization ... 0.00 Bohr magnetons per cell
Distance to the lowest polymorph of the same formula ... 12.8 meV per atom
Space group ... Amm2, No. 38
Calculated formation energy ... -0.067 eV/atom

***

# 6
MnAgSe2 after structural relaxation, computed with PBE.

```
MnAgSe2
1.0
1.689 0.000 11.349
-0.844 1.462 11.349
-0.844 -1.462 11.349
Mn Se Ag
1 2 1
direct
0.000 0.000 0.000
0.929 0.929 0.929
0.071 0.071 0.071
0.500 0.500 0.500
```

Raw formation energy ... 0.38 eV/atom
Spin magnetization ... 3.50 Bohr magnetons per cell
Space group ... R-3m, No. 166

***

# 7
BaRh2Cl after structural relaxation, computed with PBE.

```
BaRh2Cl
1.0
6.043 -0.261 -1.621
4.768 3.723 -1.621
-0.517 -0.166 4.934
Ba Cl Rh
1 1 2
direct
0.750 0.750 0.750
0.250 0.250 0.250
0.041 0.041 0.869
0.459 0.459 0.631
```

Raw formation energy ... -0.16 eV/atom
Spin magnetization ... 1.03 Bohr magnetons per cell
Distance to the lowest polymorph of the same formula ... 154.5 meV per atom
Space group ... C2/m, No. 12

***

# 8
V3W after structural relaxation, computed with PBE.

```
V3W
1.0
3.573 0.000 0.000
0.000 3.573 0.000
-1.787 -1.787 4.505
W V
1 3
direct
0.000 0.000 0.000
0.750 0.250 0.500
0.250 0.750 0.500
0.500 0.500 0.000
```

Spin magnetization ... 0.00 Bohr magnetons per cell
Space group ... I4/mmm, No. 139
Calculated formation energy ... 0.128 eV/atom

***

Computed values of DFT total energy (unit: eV/atom) for the preceding records, in sequence: -2.28, -7.70, -9.16, -3.34, -10.07, -4.37, -4.78, -9.95.